# 1
A plane-wave DFT calculation with GGA-PBE was carried out for a geometry-optimized La2Dy4Tl3H2 structure.

Computed properties:
calculated density: 8.8 g cm⁻³
DOS at the Fermi energy: 9.9 states/eV/f.u.
volume: 584.5 Å³/cell
calculated total energy: -91.34 eV for the cell shown

Lattice parameters (Å, degrees): 4.842 4.842 24.931 90.00 90.00 90.00
Space group I4/mmm (No. 139)
Unique sites:
La  0.000  0.000  0.196 [4 per cell]
Dy  0.000  0.500  0.081 [8 per cell]
Tl  0.000  0.000  0.332 [4 per cell]
Tl  0.000  0.000  0.500 [2 per cell]
H  0.000  0.000  0.096 [4 per cell]

# 2
A plane-wave DFT calculation with GGA-PBE was carried out for a geometry-optimized LiDy3H structure.

Computed properties:
calculated density: 7.1 g cm⁻³
DOS at the Fermi energy: 6.9 states/eV/f.u.
volume: 115.4 Å³/cell
calculated total energy: -19.14 eV for the cell shown

Lattice parameters (Å, degrees): 4.868 4.868 4.868 90.00 90.00 90.00
Space group Pm-3m (No. 221)
Unique sites:
Li  0.000  0.000  0.000 [1 per cell]
Dy  0.000  0.500  0.500 [3 per cell]
H  0.500  0.500  0.500 [1 per cell]

# 3
A plane-wave DFT calculation with GGA-PBE was carried out for a geometry-optimized LiDy3H3 structure.

Computed properties:
calculated density: 6.6 g cm⁻³
DOS at the Fermi energy: 4.6 states/eV/f.u.
volume: 251.9 Å³/cell
calculated total energy: -54.70 eV for the cell shown

Lattice parameters (Å, degrees): 6.315 6.315 6.315 90.00 90.00 90.00
Space group Pm-3n (No. 223)
Unique sites:
Li  0.000  0.000  0.000 [2 per cell]
Dy  0.000  0.250  0.500 [6 per cell]
H  0.000  0.500  0.250 [6 per cell]

# 4
A plane-wave DFT calculation with GGA-PBE was carried out for a geometry-optimized LiDyH4 structure.

Computed properties:
calculated density: 4.5 g cm⁻³
DOS at the Fermi energy: 0.4 states/eV/f.u.
volume: 64.5 Å³/cell
calculated total energy: -22.23 eV for the cell shown

Lattice parameters (Å, degrees): 3.614 3.614 4.939 90.00 90.00 90.00
Space group P4/mmm (No. 123)
Unique sites:
Li  0.000  0.000  0.000 [1 per cell]
Dy  0.500  0.500  0.500 [1 per cell]
H  0.000  0.500  0.247 [4 per cell]

# 5
A plane-wave DFT calculation with GGA-PBE was carried out for a geometry-optimized Li2DyH6 structure.

Computed properties:
calculated density: 2.9 g cm⁻³
DOS at the Fermi energy: 2.6 states/eV/f.u.
volume: 415.2 Å³/cell
calculated total energy: -102.94 eV for the cell shown

Lattice parameters (Å, degrees): 7.460 7.460 7.460 90.00 90.00 90.00
Space group Fm-3m (No. 225)
Unique sites:
Li  0.250  0.250  0.250 [8 per cell]
Dy  0.000  0.000  0.000 [4 per cell]
H  0.000  0.000  0.283 [24 per cell]

# 6
A plane-wave DFT calculation with GGA-PBE was carried out for a geometry-optimized LiDy2HPt6 structure.

Computed properties:
calculated density: 15.9 g cm⁻³
DOS at the Fermi energy: 0.4 states/eV/f.u.
volume: 314.5 Å³/cell
calculated total energy: -115.61 eV for the cell shown

Lattice parameters (Å, degrees): 8.636 8.437 5.870 90.00 132.68 90.00
Space group C2/m (No. 12)
Unique sites:
Li  0.000  0.000  0.000 [2 per cell]
Dy  0.000  0.237  0.500 [4 per cell]
H  0.000  0.500  0.000 [2 per cell]
Pt  0.000  0.264  0.000 [4 per cell]
Pt  0.226  0.500  0.476 [4 per cell]
Pt  0.227  0.500  0.978 [4 per cell]

# 7
A plane-wave DFT calculation with GGA-PBE was carried out for a geometry-optimized LiDy2H6Ru structure.

Computed properties:
calculated density: 7.2 g cm⁻³
DOS at the Fermi energy: 3.3 states/eV/f.u.
volume: 100.8 Å³/cell
calculated total energy: -44.37 eV for the cell shown

Lattice parameters (Å, degrees): 4.8383 4.8383 4.9706 90.00 90.00 120.00
Space group P-3m1 (No. 164)
Unique sites:
Li  0.0000  0.0000  0.0000 [1 per cell]
Dy  0.3333  0.6667  0.7402 [2 per cell]
H  0.1670  0.3341  0.2737 [6 per cell]
Ru  0.0000  0.0000  0.5000 [1 per cell]

# 8
A plane-wave DFT calculation with GGA-PBE was carried out for a geometry-optimized DyLuH2 structure.

Computed properties:
calculated density: 9.9 g cm⁻³
DOS at the Fermi energy: 2.5 states/eV/f.u.
volume: 171.5 Å³/cell
calculated total energy: -51.47 eV for the cell shown

Lattice parameters (Å, degrees): 3.4358 3.4358 16.7729 90.00 90.00 120.00
Space group R-3m (No. 166, hexagonal axes)
Unique sites:
Dy  0.0000  0.0000  0.0000 [3 per cell]
Lu  0.0000  0.0000  0.5000 [3 per cell]
H  0.0000  0.0000  0.2518 [6 per cell]

# 9
A plane-wave DFT calculation with GGA-PBE was carried out for a geometry-optimized Dy3Lu5H12 structure.

Computed properties:
calculated density: 8.7 g cm⁻³
DOS at the Fermi energy: 10.4 states/eV/f.u.
volume: 2095.3 Å³/cell
calculated total energy: -687.32 eV for the cell shown

Lattice parameters (Å, degrees): 12.796 12.796 12.796 90.00 90.00 90.00
Space group Ia-3d (No. 230)
Unique sites:
Dy  0.000  0.250  0.125 [24 per cell]
Lu  0.000  0.000  0.000 [16 per cell]
Lu  0.000  0.250  0.375 [24 per cell]
H  0.004  0.066  0.655 [96 per cell]

# 10
A plane-wave DFT calculation with GGA-PBE was carried out for a geometry-optimized Dy5Lu3H12 structure.

Computed properties:
calculated density: 8.3 g cm⁻³
DOS at the Fermi energy: 8.8 states/eV/f.u.
volume: 2154.4 Å³/cell
calculated total energy: -687.70 eV for the cell shown

Lattice parameters (Å, degrees): 12.915 12.915 12.915 90.00 90.00 90.00
Space group Ia-3d (No. 230)
Unique sites:
Dy  0.000  0.000  0.000 [16 per cell]
Dy  0.000  0.250  0.375 [24 per cell]
Lu  0.000  0.250  0.125 [24 per cell]
H  0.001  0.066  0.158 [96 per cell]

# 11
A plane-wave DFT calculation with GGA-PBE was carried out for a geometry-optimized Dy2LuH structure.

Computed properties:
calculated density: 9.0 g cm⁻³
DOS at the Fermi energy: 3.1 states/eV/f.u.
volume: 277.8 Å³/cell
calculated total energy: -53.41 eV for the cell shown

Lattice parameters (Å, degrees): 3.5770 3.5770 25.0730 90.00 90.00 120.00
Space group R-3m (No. 166, hexagonal axes)
Unique sites:
Dy  0.0000  0.0000  0.2213 [6 per cell]
Lu  0.0000  0.0000  0.0000 [3 per cell]
H  0.0000  0.0000  0.5000 [3 per cell]

# 12
A plane-wave DFT calculation with GGA-PBE was carried out for a geometry-optimized Dy2LuH structure.

Computed properties:
calculated density: 9.0 g cm⁻³
DOS at the Fermi energy: 4.0 states/eV/f.u.
volume: 92.2 Å³/cell
calculated total energy: -16.66 eV for the cell shown

Lattice parameters (Å, degrees): 3.324 3.324 8.347 90.00 90.00 90.00
Space group P4/mmm (No. 123)
Unique sites:
Dy  0.000  0.000  0.194 [2 per cell]
Lu  0.500  0.500  0.500 [1 per cell]
H  0.500  0.500  0.000 [1 per cell]

Which value of calculated density does entry 11 give? 9.0 g cm⁻³